{"formula": "Sr2PuH2O6", "functional": "PBE-GGA", "state": "optimized geometry", "lattice": [[2.6861, 1.5508, 5.2974], [-2.6861, 1.5508, 5.2974], [0.0000, -3.1016, 5.2974]], "species": ["Sr", "Sr", "Pu", "H", "H", "O", "O", "O", "O", "O", "O"], "frac_coords": [[0.2257, 0.2257, 0.2257], [0.7743, 0.7743, 0.7743], [0.0000, 0.0000, 0.0000], [0.4140, 0.4140, 0.4140], [0.5860, 0.5860, 0.5860], [0.2554, 0.2554, 0.7263], [0.2554, 0.7263, 0.2554], [0.2737, 0.7446, 0.7446], [0.7263, 0.2554, 0.2554], [0.7446, 0.2737, 0.7446], [0.7446, 0.7446, 0.2737]], "sg": "R-3m", "magmom_total_mub_per_fu": 2.0, "energy_ev_per_atom": -6.95}


{"formula": "TbPuH2O6", "functional": "PBE-GGA", "state": "optimized geometry", "lattice": [[5.2111, 0.0000, 0.0000], [2.3836, 4.8746, 0.0000], [2.3158, 1.8591, 5.1212]], "species": ["Tb", "Pu", "H", "H", "O", "O", "O", "O", "O", "O"], "frac_coords": [[0.0000, 0.0000, 0.0000], [0.5000, 0.5000, 0.5000], [0.0850, 0.2661, 0.2725], [0.9150, 0.7339, 0.7275], [0.0882, 0.7464, 0.7443], [0.2743, 0.5845, 0.2701], [0.3969, 0.1517, 0.7207], [0.6031, 0.8483, 0.2793], [0.7257, 0.4155, 0.7299], [0.9118, 0.2536, 0.2557]], "sg": "P-1", "magmom_total_mub_per_fu": 1.0, "energy_ev_per_atom": -7.75}


{"formula": "PuTcH2O8", "functional": "PBE-GGA", "state": "optimized geometry", "lattice": [[4.9642, 0.0000, 0.0000], [0.1558, 5.0882, 0.0000], [0.1563, 0.0150, 6.3373]], "species": ["Pu", "Tc", "H", "H", "O", "O", "O", "O", "O", "O", "O", "O"], "frac_coords": [[0.0000, 0.0000, 0.0000], [0.0000, 0.0000, 0.5000], [0.3766, 0.6907, 0.3609], [0.6234, 0.3093, 0.6391], [0.1721, 0.1762, 0.2797], [0.1820, 0.1636, 0.7266], [0.2581, 0.7493, 0.0101], [0.2747, 0.7244, 0.4935], [0.7253, 0.2756, 0.5065], [0.7419, 0.2507, 0.9899], [0.8180, 0.8364, 0.2734], [0.8279, 0.8238, 0.7203]], "sg": "P-1", "magmom_total_mub_per_fu": 1.0, "energy_ev_per_atom": -7.30}


{"formula": "PuTeH2O6", "functional": "PBE-GGA", "state": "optimized geometry", "lattice": [[5.5782, 0.0000, 0.0000], [0.0000, 6.0065, 0.0000], [-5.3579, 0.0000, 7.7580]], "species": ["Pu", "Pu", "Te", "Te", "H", "H", "H", "H", "O", "O", "O", "O", "O", "O", "O", "O", "O", "O", "O", "O"], "frac_coords": [[0.0000, 0.0000, 0.0000], [0.0000, 0.5000, 0.5000], [0.5000, 0.0000, 0.5000], [0.5000, 0.5000, 0.0000], [0.4795, 0.2263, 0.7740], [0.4795, 0.2737, 0.2740], [0.5205, 0.7263, 0.7260], [0.5205, 0.7737, 0.2260], [0.1144, 0.5197, 0.7381], [0.1144, 0.9803, 0.2381], [0.2881, 0.2294, 0.5732], [0.2881, 0.2706, 0.0732], [0.3833, 0.7260, 0.5925], [0.3833, 0.7740, 0.0925], [0.6167, 0.2260, 0.9075], [0.6167, 0.2740, 0.4075], [0.7119, 0.7294, 0.9268], [0.7119, 0.7706, 0.4268], [0.8856, 0.0197, 0.7619], [0.8856, 0.4803, 0.2619]], "sg": "P2_1/c", "magmom_total_mub_per_fu": 2.0, "energy_ev_per_atom": -6.92}


{"formula": "PuTiH2O6", "functional": "PBE-GGA", "state": "optimized geometry", "lattice": [[5.0490, 0.0000, 0.0000], [2.2997, 4.7215, 0.0000], [0.0056, 2.8798, 4.7619]], "species": ["Pu", "Ti", "H", "H", "O", "O", "O", "O", "O", "O"], "frac_coords": [[0.0000, 0.0000, 0.0000], [0.5000, 0.0000, 0.5000], [0.3986, 0.5158, 0.7180], [0.6014, 0.4842, 0.2820], [0.1520, 0.1118, 0.2554], [0.2408, 0.1249, 0.7469], [0.4167, 0.4677, 0.2675], [0.5833, 0.5323, 0.7325], [0.7592, 0.8751, 0.2531], [0.8480, 0.8882, 0.7446]], "sg": "P-1", "magmom_total_mub_per_fu": 2.0, "energy_ev_per_atom": -7.99}


{"formula": "PuTlH2O6", "functional": "PBE-GGA", "state": "optimized geometry", "lattice": [[5.1667, 0.0000, 0.0000], [2.0637, 4.8002, 0.0000], [1.9364, 1.6676, 5.1260]], "species": ["Pu", "Tl", "H", "H", "O", "O", "O", "O", "O", "O"], "frac_coords": [[0.0000, 0.0000, 0.0000], [0.5002, 0.5009, 0.4997], [0.4016, 0.2219, 0.2585], [0.5971, 0.7836, 0.7386], [0.0933, 0.3472, 0.7771], [0.2321, 0.9428, 0.2238], [0.4200, 0.7451, 0.7518], [0.5811, 0.2512, 0.2520], [0.7679, 0.0573, 0.7763], [0.9077, 0.6520, 0.2226]], "sg": "P1", "magmom_total_mub_per_fu": 1.0, "energy_ev_per_atom": -6.75}


Please write out number 6 again, unchanged.
{"formula": "PuTlH2O6", "functional": "PBE-GGA", "state": "optimized geometry", "lattice": [[5.1667, 0.0000, 0.0000], [2.0637, 4.8002, 0.0000], [1.9364, 1.6676, 5.1260]], "species": ["Pu", "Tl", "H", "H", "O", "O", "O", "O", "O", "O"], "frac_coords": [[0.0000, 0.0000, 0.0000], [0.5002, 0.5009, 0.4997], [0.4016, 0.2219, 0.2585], [0.5971, 0.7836, 0.7386], [0.0933, 0.3472, 0.7771], [0.2321, 0.9428, 0.2238], [0.4200, 0.7451, 0.7518], [0.5811, 0.2512, 0.2520], [0.7679, 0.0573, 0.7763], [0.9077, 0.6520, 0.2226]], "sg": "P1", "magmom_total_mub_per_fu": 1.0, "energy_ev_per_atom": -6.75}